# 1
DySnPtRh: optimized geometry, PBE-GGA.

## Properties
* density of states at the Fermi level: 0.805 states/eV per atom
* E: -25.3 eV for the cell shown
* formation energy from the elements: -0.823 eV/atom
* symmetry: F-43m, No. 216
* V: 19.0 A^3/atom

abc: 4.7577 4.7577 4.7577
angles: 60.00 60.00 60.00
Closest atoms and distances in Å follow each position.
Positions (direct):
Rh  0.2500  0.2500  0.2500  4 Dy 2.91, 4 Sn 2.91
Sn  0.0000  0.0000  0.0000  4 Rh 2.91, 4 Pt 2.91
Pt  0.7500  0.7500  0.7500  4 Sn 2.91, 4 Dy 2.91
Dy  0.5000  0.5000  0.5000  4 Pt 2.91, 4 Rh 2.91



# 2
BaHgTe2: optimized geometry, PBE-GGA.

## Properties
* E_form (uncorrected): -0.884 eV/atom
* density of states at the Fermi level: 0.000 states/eV per atom
* E: -12.0 eV for the cell shown
* symmetry: R-3m, No. 166
* V: 55.4 A^3/atom

abc: 8.9837 8.9837 8.9837
angles: 35.78 35.78 35.78
Closest atoms and distances in Å follow each position.
Positions (direct):
Te  0.8949  0.8949  0.8949  1 Hg 2.65
Te  0.1051  0.1051  0.1051  1 Hg 2.65
Hg  0.0000  0.0000  0.0000  2 Te 2.65
Ba  0.5000  0.5000  0.5000  6 Te 3.54



# 3
TeSe2: optimized geometry, PBE-GGA.

## Properties
* E_form (uncorrected): 0.119 eV/atom
* density of states at the Fermi level: 0.543 states/eV per atom
* E: -19.5 eV for the cell shown
* symmetry: Cmcm, No. 63
* V: 31.7 A^3/atom
* energy above the most stable polymorph in this dataset: 0.40 eV per formula unit

abc: 7.1809 7.1809 3.8049
angles: 90.00 90.00 104.35
Closest atoms and distances in Å follow each position.
Positions (direct):
Te  0.1862  0.1862  0.2500  4 Se 2.78
Te  0.8138  0.8138  0.7500  4 Se 2.78
Se  0.8819  0.5553  0.2500  2 Te 2.78, 2 Se 2.79
Se  0.1181  0.4447  0.7500  2 Te 2.78, 2 Se 2.79
Se  0.5553  0.8819  0.2500  2 Te 2.78, 2 Se 2.79
Se  0.4447  0.1181  0.7500  2 Te 2.78, 2 Se 2.79



# 4
NbV2Cr2: optimized geometry, PBE-GGA.

## Properties
* density of states at the Fermi level: 1.653 states/eV per atom
* E: -91.9 eV for the cell shown
* formation energy from the elements: 0.317 eV/atom
* symmetry: P4/mbm, No. 127
* V: 14.1 A^3/atom

abc: 6.9327 6.9327 2.9380
angles: 90.00 90.00 90.00
Closest atoms and distances in Å follow each position.
Positions (direct):
Cr  0.3553  0.8553  0.0000  6 V 2.50-2.51, 2 Nb 2.66
Cr  0.8553  0.6447  0.0000  6 V 2.50-2.51, 2 Nb 2.66
Cr  0.6447  0.1447  0.0000  6 V 2.50-2.51, 2 Nb 2.66
Cr  0.1447  0.3553  0.0000  6 V 2.50-2.51, 2 Nb 2.66
Nb  0.0000  0.0000  0.0000  4 Cr 2.66, 2 Nb 2.94
Nb  0.5000  0.5000  0.0000  4 Cr 2.66, 2 Nb 2.94
V  0.1490  0.6490  0.5000  6 Cr 2.50-2.51
V  0.6490  0.8510  0.5000  6 Cr 2.50-2.51
V  0.8510  0.3510  0.5000  6 Cr 2.50-2.51
V  0.3510  0.1490  0.5000  6 Cr 2.50-2.51



# 5
AcHo2Pt: optimized geometry, PBE-GGA.

## Properties
* density of states at the Fermi level: 1.183 states/eV per atom
* E: -21.6 eV for the cell shown
* formation energy from the elements: -0.581 eV/atom
* symmetry: R3m, No. 160
* V: 33.0 A^3/atom
* energy above the most stable polymorph in this dataset: 0.06 eV per formula unit

abc: 4.0687 4.0687 9.5043
angles: 77.64 77.64 60.00
Closest atoms and distances in Å follow each position.
Positions (direct):
Ac  0.5019  0.5019  0.4942  6 Ho 3.83-3.94, 6 Ac 4.07
Ho  0.0542  0.0542  0.8374  3 Pt 2.80
Ho  0.2781  0.2781  0.1656  3 Pt 2.79
Pt  0.6657  0.6657  0.0028  6 Ho 2.79-2.80



# 6
HfAlRu: optimized geometry, PBE-GGA.

## Properties
* density of states at the Fermi level: 0.547 states/eV per atom
* E: -22.3 eV for the cell shown
* formation energy from the elements: 0.229 eV/atom
* symmetry: I4mm, No. 107
* V: 22.2 A^3/atom

abc: 3.1418 3.1418 7.1170
angles: 102.75 102.75 90.00
Closest atoms and distances in Å follow each position.
Positions (direct):
Ru  0.7576  0.7576  0.5153  1 Al 2.42, 4 Hf 2.62
Hf  0.1555  0.1555  0.3110  4 Ru 2.62
Al  0.9369  0.9369  0.8738  1 Ru 2.42



Which formula does entry 2 have? BaHgTe2



Please write out number 5 again, unchanged.
AcHo2Pt: optimized geometry, PBE-GGA.

## Properties
* density of states at the Fermi level: 1.183 states/eV per atom
* E: -21.6 eV for the cell shown
* formation energy from the elements: -0.581 eV/atom
* symmetry: R3m, No. 160
* V: 33.0 A^3/atom
* energy above the most stable polymorph in this dataset: 0.06 eV per formula unit

abc: 4.0687 4.0687 9.5043
angles: 77.64 77.64 60.00
Closest atoms and distances in Å follow each position.
Positions (direct):
Ac  0.5019  0.5019  0.4942  6 Ho 3.83-3.94, 6 Ac 4.07
Ho  0.0542  0.0542  0.8374  3 Pt 2.80
Ho  0.2781  0.2781  0.1656  3 Pt 2.79
Pt  0.6657  0.6657  0.0028  6 Ho 2.79-2.80



Please write out number 5 again, unchanged.
AcHo2Pt: optimized geometry, PBE-GGA.

## Properties
* density of states at the Fermi level: 1.183 states/eV per atom
* E: -21.6 eV for the cell shown
* formation energy from the elements: -0.581 eV/atom
* symmetry: R3m, No. 160
* V: 33.0 A^3/atom
* energy above the most stable polymorph in this dataset: 0.06 eV per formula unit

abc: 4.0687 4.0687 9.5043
angles: 77.64 77.64 60.00
Closest atoms and distances in Å follow each position.
Positions (direct):
Ac  0.5019  0.5019  0.4942  6 Ho 3.83-3.94, 6 Ac 4.07
Ho  0.0542  0.0542  0.8374  3 Pt 2.80
Ho  0.2781  0.2781  0.1656  3 Pt 2.79
Pt  0.6657  0.6657  0.0028  6 Ho 2.79-2.80